VASP calculation (PBE-GGA) on K2UAl2O6 after structural relaxation.

Cell: 7.110 7.110 7.110 Å, 48.94 48.94 48.94°
Fractional coordinates of all 11 atoms:
K: 0.227 0.227 0.227
K: 0.773 0.773 0.773
U: 0.000 0.000 0.000
Al: 0.431 0.431 0.431
Al: 0.569 0.569 0.569
O: 0.233 0.233 0.729
O: 0.233 0.729 0.233
O: 0.271 0.767 0.767
O: 0.729 0.233 0.233
O: 0.767 0.271 0.767
O: 0.767 0.767 0.271

Values from the calculation:
Formation energy (no corrections), eV per atom: -2.55
Total DFT energy (no corrections), eV/atom: -7.160
Space-group type: R-3m

=====

VASP calculation (PBE-GGA) on TlSn2AuBr after structural relaxation.

Cell: 5.794 5.794 5.596 Å, 90.00 90.00 90.00°
Fractional coordinates of all 5 atoms:
Tl: 0.000 0.000 0.000
Sn: 0.000 0.500 0.000
Sn: 0.500 0.000 0.000
Au: 0.500 0.500 0.500
Br: 0.000 0.000 0.500

Values from the calculation:
Formation energy (no corrections), eV per atom: 0.61
Total DFT energy (no corrections), eV/atom: -2.457
Space-group type: P4/mmm

=====

VASP calculation (PBE-GGA) on LaSmGdTh after structural relaxation.

Cell: 5.765 5.765 5.765 Å, 60.00 60.00 60.00°
Fractional coordinates of all 4 atoms:
La: 0.000 0.000 0.000
Sm: 0.250 0.250 0.250
Gd: 0.750 0.750 0.750
Th: 0.500 0.500 0.500

Values from the calculation:
Total DFT energy (no corrections), eV/atom: -7.640
Space-group type: F-43m

=====

VASP calculation (PBE-GGA) on Cd4In2Hg3 after structural relaxation.

Cell: 11.598 11.598 4.976 Å, 93.04 93.04 43.85°
Fractional coordinates of all 18 atoms:
Cd: 0.056 0.838 0.552
Cd: 0.141 0.361 0.316
Cd: 0.162 0.944 0.948
Cd: 0.361 0.141 0.816
Cd: 0.639 0.859 0.184
Cd: 0.838 0.056 0.052
Cd: 0.859 0.639 0.684
Cd: 0.944 0.162 0.448
In: 0.261 0.483 0.706
In: 0.483 0.261 0.206
In: 0.517 0.739 0.794
In: 0.739 0.517 0.294
Hg: 0.002 0.307 0.862
Hg: 0.307 0.002 0.362
Hg: 0.387 0.613 0.250
Hg: 0.613 0.387 0.750
Hg: 0.693 0.998 0.638
Hg: 0.998 0.693 0.138

Values from the calculation:
Total DFT energy (no corrections), eV/atom: -1.090
Space-group type: C2/c